# Pu8Ir5Pt, relaxed, DFT GGA-PBE
data_Pu8Ir5Pt
_cell_length_a 8.547
_cell_length_b 8.547
_cell_length_c 8.498
_cell_angle_alpha 90.00
_cell_angle_beta 90.00
_cell_angle_gamma 90.00
_space_group_name_H-M_alt 'I -4'
_space_group_IT_number 82
_space_group_name_Hall 'I -4'
loop_
_atom_site_label
_atom_site_type_symbol
_atom_site_fract_x
_atom_site_fract_y
_atom_site_fract_z
_atom_site_occupancy
Pu1 Pu 0.070 0.174 0.194 1
Pu2 Pu 0.072 0.318 0.558 1
Ir1 Ir 0.000 0.000 0.500 1
Ir2 Ir 0.128 0.252 0.878 1
Pt1 Pt 0.000 0.500 0.250 1
# - final energy (eV/atom) = -12.283
# - calculated formation energy (eV per atom) = -0.497